DFT (PBE-GGA) results for a relaxed structure of LaMg2Fe.

The calculation puts the total energy at -3.904 eV per atom. The formation energy is 0.24 eV per atom. The calculation puts the calculated volume at 90.6 Å³/f.u. Its mass density is 4.46 g cm⁻³.

It has space group P2/m (No. 10), with a = 3.4501 Å, b = 5.0547 Å, c = 5.4364 Å, α = 90.00°, β = 107.20° and γ = 90.00°. The asymmetric unit holds La at (0.0000, 0.0000, 0.0000), Mg at (0.3534, 0.5000, 0.7132) and Fe at (0.5000, 0.0000, 0.5000).